14
Lattice="-4.691 -2.542 -2.765 0.333 -5.710 -1.846 -3.194 -4.254 2.800" Properties=species:S:1:pos:R:3 comment="PBE+U NaCr3Ni2O8, optimized geometry" crystal_system=trigonal e_tot_ry_per_atom=-0.469 total_magnetization_mub_per_fu=7.000 n_ef_per_ev_cell=5.38 space_group="No. 160" pbc="T T T"
Cr -4.496 -5.404 -3.661
Cr -2.200 -4.160 -2.308
Cr -2.038 -6.954 -3.211
O -5.756 -9.458 -1.130
O -1.853 -3.096 -0.540
O -3.926 -7.026 -2.748
O -1.909 -5.933 -1.559
O -3.550 -5.351 0.968
O -5.767 -6.552 -0.338
O -4.069 -4.571 -1.955
O -3.393 -8.049 0.096
Ni -3.774 -6.251 -0.911
Ni -2.547 -3.696 1.190
Na -5.015 -8.818 -2.976